Material: Tb2SbSe
Method: DFT, PBE
State: relaxed

The structure in extended XYZ format:
```
4
Lattice="2.094 1.209 7.261 -2.094 1.209 7.261 0.000 -2.417 7.261" Properties=species:S:1:pos:R:3 pbc="T T T"
Tb 0.000 0.000 0.000
Tb 0.000 0.000 3.896
Sb 0.000 0.000 9.204
Se 0.000 0.000 12.908
```

- Uncorrected formation energy: -5.579 eV/f.u.
- Excess energy over the best structure of this formula in the dataset: 71 meV/atom
- Energy: -5.612 eV per atom


Material: PmSmPd2
Method: DFT, PBE
State: relaxed

The structure in extended XYZ format:
```
4
Lattice="0.000 3.593 3.593 3.593 0.000 3.593 3.593 3.593 0.000" Properties=species:S:1:pos:R:3 pbc="T T T"
Pm 0.000 0.000 0.000
Sm 3.593 3.593 3.593
Pd 1.797 1.797 1.797
Pd 5.390 5.390 5.390
```

- Excess energy over the best structure of this formula in the dataset: 65 meV/atom
- Energy: -5.738 eV per atom


Material: CeVH3
Method: DFT, PBE
State: relaxed

The structure in extended XYZ format:
```
5
Lattice="4.241 -1.787 0.000 4.241 1.787 0.000 -0.782 0.000 3.447" Properties=species:S:1:pos:R:3 pbc="T T T"
Ce 0.000 0.000 0.000
V 1.908 0.000 1.320
H 1.701 0.000 3.097
H 3.661 0.000 1.742
H 6.527 0.000 1.404
```

- Excess energy over the best structure of this formula in the dataset: 149 meV/atom
- Energy: -5.115 eV per atom


Material: Zn3Cu3Ir
Method: DFT, PBE
State: relaxed

The structure in extended XYZ format:
```
14
Lattice="4.258 -4.313 0.000 4.258 4.313 0.000 0.000 0.000 5.423" Properties=species:S:1:pos:R:3 pbc="T T T"
Zn 4.258 2.634 0.000
Zn 2.015 0.000 2.712
Zn 4.258 2.237 2.712
Zn 4.258 -2.237 2.712
Zn 6.501 0.000 2.712
Zn 4.258 -2.634 0.000
Cu 2.129 2.156 1.385
Cu 2.129 2.156 4.038
Cu 2.129 -2.156 1.385
Cu 2.129 -2.156 4.038
Cu 4.258 0.000 1.268
Cu 4.258 0.000 4.155
Ir 1.981 0.000 0.000
Ir 6.535 0.000 0.000
```

- Excess energy over the best structure of this formula in the dataset: 0 meV/atom
- Energy: -3.530 eV per atom


Material: MgSnS2O8
Method: DFT, PBE
State: relaxed

The structure in extended XYZ format:
```
12
Lattice="4.173 -2.634 0.000 4.173 2.634 0.000 -0.285 0.000 7.431" Properties=species:S:1:pos:R:3 pbc="T T T"
Mg 0.000 0.000 0.000
Sn -0.143 0.000 3.716
S 2.928 0.000 1.673
S 5.133 0.000 5.759
O 3.798 1.223 1.545
O 1.927 0.000 0.610
O 2.344 0.000 3.042
O 4.262 1.223 5.886
O 3.798 -1.223 1.545
O 5.717 0.000 4.389
O 6.134 0.000 6.821
O 4.262 -1.223 5.886
```

- Uncorrected formation energy: -19.898 eV/f.u.
- Energy: -6.118 eV per atom


Material: PaBRu2
Method: DFT, PBE
State: relaxed

The structure in extended XYZ format:
```
8
Lattice="4.547 -2.786 0.000 4.547 2.786 0.000 -0.439 0.000 4.805" Properties=species:S:1:pos:R:3 pbc="T T T"
Pa 2.274 1.393 0.000
Pa 2.054 -1.393 2.403
B 4.218 2.720 3.604
B 4.437 -2.720 1.201
Ru 3.478 1.157 2.239
Ru 5.397 1.157 0.164
Ru 3.258 -1.157 4.642
Ru 5.177 -1.157 2.566
```

- Excess energy over the best structure of this formula in the dataset: 0 meV/atom
- Energy: -9.052 eV per atom